one:
# V12Cr6Ge

A geometry-optimized V12Cr6Ge structure (GGA-PBE, Alexandria via LeMat-Bulk).

Cell and atoms, written as POSCAR:
```
V12Cr6Ge
1.0
6.6920 -0.7631 -1.4087
-1.5705 6.5497 -1.4087
-0.6754 -0.7631 6.8052
Cr V Ge
6 12 1
direct
0.2968 0.6698 0.2968
0.7032 0.3302 0.7032
0.2968 0.2968 0.6698
0.7032 0.7032 0.3302
0.3302 0.7032 0.7032
0.6698 0.2968 0.2968
0.8740 0.5000 0.1260
0.3672 0.3672 0.1014
0.8740 0.1260 0.5000
0.1014 0.3672 0.3672
0.6328 0.8986 0.6328
0.1260 0.8740 0.5000
0.3672 0.1014 0.3672
0.1260 0.5000 0.8740
0.5000 0.8740 0.1260
0.5000 0.1260 0.8740
0.6328 0.6328 0.8986
0.8986 0.6328 0.6328
0.0000 0.0000 0.0000
```

Summary:
* symmetry: No. 166

two:
# V12Cr6Ge

A geometry-optimized V12Cr6Ge structure (GGA-PBE, Alexandria via LeMat-Bulk).

Cell and atoms, written as POSCAR:
```
V12Cr6Ge
1.0
-5.2971 -3.3784 -0.7203
2.5755 -3.1291 -4.8547
2.2083 -4.4280 3.9380
V Ge Cr
12 1 6
direct
0.6182 0.9436 0.8548
0.1452 0.3818 0.0564
0.8548 0.6182 0.9436
0.8137 0.5209 0.4138
0.3818 0.0564 0.1452
0.0564 0.1452 0.3818
0.9436 0.8548 0.6182
0.4138 0.8137 0.5209
0.4791 0.5862 0.1863
0.5862 0.1863 0.4791
0.1863 0.4791 0.5862
0.5209 0.4138 0.8137
0.0000 0.0000 0.0000
0.7391 0.8799 0.2639
0.8799 0.2639 0.7391
0.7361 0.2609 0.1201
0.2609 0.1201 0.7361
0.1201 0.7361 0.2609
0.2639 0.7391 0.8799
```

Summary:
* symmetry: No. 148

Among the structures above, stability is smallest for one.